No. 1
CaTl2OsAu after structural relaxation, computed with PBE.

Cell: 5.8798 5.8798 4.9516 Å, 90.00 90.00 90.00°
Sites, in units of the cell vectors:
Ca 0.0000 0.0000 0.0000
Tl 0.0000 0.5000 0.0000
Tl 0.5000 0.0000 0.0000
Os 0.0000 0.0000 0.5000
Au 0.5000 0.5000 0.5000

Properties
Crystal system ... tetragonal
E_tot ... -2.759 eV per atom
DOS at the Fermi energy ... 2.64 states/eV per cell
Space group ... P4/mmm (123)


No. 2
CaP2Au after structural relaxation, computed with PBE.

Cell: 3.7467 3.7467 5.7334 Å, 90.00 90.00 90.00°
Sites, in units of the cell vectors:
Ca 0.0000 0.0000 0.0000
P 0.0000 0.0000 0.5026
P 0.5000 0.5000 0.1702
Au 0.5000 0.5000 0.6041

Properties
Crystal system ... tetragonal
Energy above the lowest structure with this stoichiometry ... 0.396 eV/atom
E_tot ... -4.163 eV per atom
DOS at the Fermi energy ... 1.92 states/eV per cell
Space group ... P4mm (99)


No. 3
Ca2PAu after structural relaxation, computed with PBE.

Cell: 3.9463 14.1972 7.2059 Å, 90.00 90.00 90.00°
Sites, in units of the cell vectors:
Ca 0.0000 0.1380 0.0057
Ca 0.0000 0.1380 0.4943
Ca 0.0000 0.8620 0.5057
Ca 0.0000 0.8620 0.9943
Ca 0.5000 0.3620 0.5057
Ca 0.5000 0.3620 0.9943
Ca 0.5000 0.6380 0.0057
Ca 0.5000 0.6380 0.4943
P 0.0000 0.2991 0.2500
P 0.0000 0.7009 0.7500
P 0.5000 0.2009 0.7500
P 0.5000 0.7991 0.2500
Au 0.0000 0.4951 0.2500
Au 0.0000 0.5049 0.7500
Au 0.5000 0.0049 0.7500
Au 0.5000 0.9951 0.2500

Properties
Crystal system ... orthorhombic
E_tot ... -4.053 eV per atom
DOS at the Fermi energy ... 5.98 states/eV per cell
Space group ... Cmcm (63)


No. 4
CaPAu2 after structural relaxation, computed with PBE.

Cell: 3.7413 4.1919 10.5475 Å, 90.00 90.00 90.00°
Sites, in units of the cell vectors:
Ca 0.0000 0.0000 0.0000
Ca 0.0000 0.5000 0.5000
P 0.5000 0.0000 0.4382
P 0.5000 0.5000 0.9382
Au 0.0000 0.0000 0.2828
Au 0.0000 0.5000 0.7828
Au 0.5000 0.0000 0.6806
Au 0.5000 0.5000 0.1806

Properties
Crystal system ... orthorhombic
E_tot ... -3.948 eV per atom
DOS at the Fermi energy ... 2.98 states/eV per cell
Space group ... Amm2 (38)


No. 5
Ca2PAu after structural relaxation, computed with PBE.

Cell: 7.1171 7.1171 7.1171 Å, 90.00 90.00 90.00°
Sites, in units of the cell vectors:
Ca 0.0000 0.0000 0.0000
Ca 0.0000 0.5000 0.5000
Ca 0.2500 0.2500 0.2500
Ca 0.2500 0.7500 0.7500
Ca 0.5000 0.0000 0.5000
Ca 0.5000 0.5000 0.0000
Ca 0.7500 0.2500 0.7500
Ca 0.7500 0.7500 0.2500
P 0.2500 0.2500 0.7500
P 0.2500 0.7500 0.2500
P 0.7500 0.2500 0.2500
P 0.7500 0.7500 0.7500
Au 0.0000 0.0000 0.5000
Au 0.0000 0.5000 0.0000
Au 0.5000 0.0000 0.0000
Au 0.5000 0.5000 0.5000

Properties
Crystal system ... cubic
E_tot ... -3.467 eV per atom
DOS at the Fermi energy ... 11.08 states/eV per cell
Space group ... F-43m (216)


No. 6
Ca6PAu2 after structural relaxation, computed with PBE.

Cell: 7.0024 7.8446 12.3326 Å, 90.00 123.69 90.00°
Sites, in units of the cell vectors:
Ca 0.1045 0.0427 0.2503
Ca 0.1045 0.4573 0.7503
Ca 0.2290 0.6851 0.0664
Ca 0.2290 0.8149 0.5664
Ca 0.3956 0.1764 0.0648
Ca 0.3956 0.3236 0.5648
Ca 0.6044 0.6764 0.4352
Ca 0.6044 0.8236 0.9352
Ca 0.7710 0.1851 0.4336
Ca 0.7710 0.3149 0.9336
Ca 0.8955 0.5427 0.2497
Ca 0.8955 0.9573 0.7497
P 0.0000 0.0000 0.0000
P 0.0000 0.5000 0.5000
Au 0.3026 0.1112 0.7551
Au 0.3026 0.3888 0.2551
Au 0.6974 0.6112 0.7449
Au 0.6974 0.8888 0.2449

Properties
Crystal system ... monoclinic
E_tot ... -3.334 eV per atom
DOS at the Fermi energy ... 8.61 states/eV per cell
Space group ... P2_1/c (14)


No. 7
Ca3P3Au2 after structural relaxation, computed with PBE.

Cell: 5.9612 5.9612 14.3708 Å, 90.00 90.00 137.41°
Sites, in units of the cell vectors:
Ca 0.0647 0.9353 0.7500
Ca 0.3480 0.6520 0.6071
Ca 0.3480 0.6520 0.8929
Ca 0.6520 0.3480 0.1071
Ca 0.6520 0.3480 0.3929
Ca 0.9353 0.0647 0.2500
P 0.0900 0.9100 0.5369
P 0.0900 0.9100 0.9631
P 0.2158 0.7842 0.2500
P 0.7842 0.2158 0.7500
P 0.9100 0.0900 0.0369
P 0.9100 0.0900 0.4631
Au 0.3691 0.6309 0.1126
Au 0.3691 0.6309 0.3874
Au 0.6309 0.3691 0.6126
Au 0.6309 0.3691 0.8874

Properties
Crystal system ... orthorhombic
E_tot ... -4.393 eV per atom
DOS at the Fermi energy ... 7.60 states/eV per cell
Space group ... Cmcm (63)


No. 8
Ca2P2Au after structural relaxation, computed with PBE.

Cell: 3.6637 3.6637 16.5476 Å, 90.00 90.00 90.00°
Sites, in units of the cell vectors:
Ca 0.0000 0.0000 0.1129
Ca 0.0000 0.0000 0.8871
Ca 0.5000 0.5000 0.3871
Ca 0.5000 0.5000 0.6129
P 0.0000 0.5000 0.2500
P 0.0000 0.5000 0.7500
P 0.5000 0.0000 0.2500
P 0.5000 0.0000 0.7500
Au 0.0000 0.0000 0.5000
Au 0.5000 0.5000 0.0000

Properties
Crystal system ... tetragonal
Energy above the lowest structure with this stoichiometry ... 0.287 eV/atom
E_tot ... -4.219 eV per atom
DOS at the Fermi energy ... 6.43 states/eV per cell
Space group ... I4/mmm (139)


Number 1: calculated formation energy 1.489 eV per atom. Number 2: calculated formation energy -0.138 eV per atom. Number 3: calculated formation energy -0.880 eV per atom. Number 4: calculated formation energy -0.456 eV per atom. Number 5: calculated formation energy -0.294 eV per atom. Number 6: calculated formation energy -0.670 eV per atom. Number 7: calculated formation energy -0.794 eV per atom. Number 8: calculated formation energy -0.599 eV per atom.